La3Tl2In3Ni | PBE-GGA | relaxed

Properties
- calculated density (Mg/m³) = 8.31
- formation energy from the elements (eV/atom) = -0.45
- total DFT energy (no corrections) (eV per cell) = -37.57
- DOS at the Fermi energy (states/eV/f.u.) = 5.0
- total magnetization (μB per formula unit) = 0.00

Cell and atoms, written as extended XYZ:
```
9
Lattice="7.822 0.000 0.000 -3.911 6.774 0.000 0.000 0.000 4.632" Properties=species:S:1:pos:R:3 pbc="T T T"
La -1.508 2.611 0.000
La 3.015 0.000 0.000
La 2.403 4.163 0.000
Tl 0.000 4.516 2.316
Tl 3.911 2.258 2.316
In -3.018 5.228 2.316
In 0.893 1.546 2.316
In 6.036 0.000 2.316
Ni 0.000 0.000 0.000
```

BS2IO | PBE-GGA | relaxed

Properties
- ΔE_f (raw) (eV/f.u.) = 6.3
- calculated density (Mg/m³) = 3.26
- total DFT energy (no corrections) (eV per cell) = -15.13
- DOS at the Fermi energy (states/eV/f.u.) = 4.2
- total magnetization (μB per formula unit) = 0.02

Cell and atoms, written as extended XYZ:
```
5
Lattice="3.870 0.000 0.000 0.000 3.870 0.000 0.000 0.000 7.408" Properties=species:S:1:pos:R:3 pbc="T T T"
B 0.000 0.000 0.000
S 0.000 1.935 3.704
S 1.935 0.000 3.704
I 1.935 1.935 0.000
O 0.000 0.000 3.704
```

Na2TeSe3 | PBE-GGA | relaxed

Properties
- ΔE_f (raw) (eV/f.u.) = -3.8
- calculated density (Mg/m³) = 3.91
- energy above the most stable polymorph in this dataset (meV per atom) = 0.6
- total DFT energy (no corrections) (eV per cell) = -80.08
- total magnetization (μB per formula unit) = 0.00

Cell and atoms, written as extended XYZ:
```
24
Lattice="10.995 -3.038 0.000 10.995 3.038 0.000 -6.263 0.000 10.447" Properties=species:S:1:pos:R:3 pbc="T T T"
Na 0.369 0.214 1.985
Na -2.763 -0.214 7.209
Na 4.761 0.059 1.302
Na 1.630 -0.059 6.526
Na 14.097 0.059 3.921
Na 10.965 -0.059 9.144
Na 18.489 0.214 3.238
Na 15.358 -0.214 8.461
Te 5.584 0.319 5.135
Te 2.453 -0.319 10.359
Te 13.274 0.319 0.088
Te 10.143 -0.319 5.311
Se -0.890 0.220 4.781
Se -4.021 -0.220 10.005
Se 3.327 0.053 4.009
Se 0.195 -0.053 9.233
Se 7.215 0.211 3.191
Se 4.083 -0.211 8.414
Se 11.643 0.211 2.033
Se 8.512 -0.211 7.256
Se 15.531 0.053 1.214
Se 12.400 -0.053 6.437
Se 19.748 0.220 0.442
Se 16.617 -0.220 5.665
```